# 1
## LiPt2 (GGA-PBEsol)

Data for a geometry-optimized LiPt2 structure.

energy above the lowest structure with this stoichiometry = 0 meV/atom
E_form = -0.4136 eV per atom
DOS(E_F) = 0.822 states/eV per atom
SG = Cm

Cell: 2.705 5.127 6.609 Å, 105.47 90.00 105.29°
Positions (direct):
Pt1 0.055 0.111 0.616
Pt2 0.390 0.779 0.276
Pt3 0.330 0.660 0.660
Pt4 0.726 0.452 0.953
Li1 0.670 0.340 0.340
Li2 0.996 0.992 0.988

=====

# 2
## LiPt (GGA-PBEsol)

Data for a geometry-optimized LiPt structure.

E_form = -0.4574 eV per atom
DOS(E_F) = 0.360 states/eV per atom
SG = P4/mmm

Cell: 2.661 2.661 3.804 Å, 90.00 90.00 90.00°
Positions (direct):
Li1 0.000 0.000 0.000
Pt1 0.500 0.500 0.500

=====

# 3
## Li2Pt (GGA-PBEsol)

Data for a geometry-optimized Li2Pt structure.

energy above the lowest structure with this stoichiometry = 84 meV/atom
E_form = -0.3965 eV per atom
DOS(E_F) = 0.288 states/eV per atom
SG = I4/mcm

Cell: 5.037 5.037 5.037 Å, 105.62 105.62 117.49°
Positions (direct):
Pt1 0.250 0.250 0.000
Pt2 0.750 0.750 0.000
Li1 0.821 0.321 0.142
Li2 0.679 0.821 0.500
Li3 0.321 0.179 0.500
Li4 0.179 0.679 0.858

=====

# 4
## LiPt3 (GGA-PBEsol)

Data for a geometry-optimized LiPt3 structure.

E_form = -0.2464 eV per atom
DOS(E_F) = 1.242 states/eV per atom
SG = Pmmm

Cell: 2.699 3.962 5.352 Å, 90.00 90.00 90.00°
Positions (direct):
Li1 0.000 0.000 0.000
Pt1 0.000 0.000 0.500
Pt2 0.500 0.500 0.246
Pt3 0.500 0.500 0.754

=====

# 5
## LiPt (GGA-PBEsol)

Data for a geometry-optimized LiPt structure.

E_form = -0.5721 eV per atom
DOS(E_F) = 0.385 states/eV per atom
SG = R-3m

Cell: 2.709 2.709 4.519 Å, 72.56 72.56 60.00°
Positions (direct):
Pt1 0.500 0.500 0.500
Li1 0.000 0.000 0.000

=====

# 6
## LiPt3 (GGA-PBEsol)

Data for a geometry-optimized LiPt3 structure.

E_form = -0.2399 eV per atom
DOS(E_F) = 1.043 states/eV per atom
SG = R-3m

Cell: 2.705 2.705 9.190 Å, 81.54 81.54 60.00°
Positions (direct):
Li1 0.000 0.000 0.000
Pt1 0.746 0.746 0.763
Pt2 0.500 0.500 0.500
Pt3 0.254 0.254 0.237

=====

# 7
## LiPt2 (GGA-PBEsol)

Data for a geometry-optimized LiPt2 structure.

energy above the lowest structure with this stoichiometry = 53 meV/atom
E_form = -0.3608 eV per atom
DOS(E_F) = 0.349 states/eV per atom
SG = P6_3/mmc

Cell: 5.192 5.192 16.922 Å, 90.00 90.00 120.00°
Positions (direct):
Pt1 0.163 0.326 0.750
Pt2 0.837 0.163 0.250
Pt3 0.500 0.500 0.000
Pt4 0.163 0.837 0.750
Pt5 0.500 0.500 0.500
Pt6 0.500 0.000 0.000
Pt7 0.667 0.333 0.125
Pt8 0.667 0.333 0.375
Pt9 0.837 0.674 0.250
Pt10 0.333 0.667 0.625
Pt11 0.326 0.163 0.250
Pt12 0.500 0.000 0.500
Pt13 0.333 0.667 0.875
Pt14 0.000 0.500 0.500
Pt15 0.674 0.837 0.750
Pt16 0.000 0.500 0.000
Li1 0.333 0.667 0.155
Li2 0.667 0.333 0.655
Li3 0.000 0.000 0.089
Li4 0.000 0.000 0.411
Li5 0.667 0.333 0.845
Li6 0.000 0.000 0.911
Li7 0.000 0.000 0.589
Li8 0.333 0.667 0.345

=====

# 8
## LiPt2 (GGA-PBEsol)

Data for a geometry-optimized LiPt2 structure.

energy above the lowest structure with this stoichiometry = 31 meV/atom
E_form = -0.3822 eV per atom
DOS(E_F) = 0.710 states/eV per atom
SG = Pnma

Cell: 3.858 5.368 8.107 Å, 90.00 90.00 90.00°
Positions (direct):
Li1 0.250 0.610 0.583
Li2 0.750 0.890 0.083
Li3 0.750 0.390 0.417
Li4 0.250 0.110 0.917
Pt1 0.250 0.154 0.254
Pt2 0.250 0.110 0.590
Pt3 0.250 0.654 0.246
Pt4 0.250 0.610 0.910
Pt5 0.750 0.390 0.090
Pt6 0.750 0.846 0.746
Pt7 0.750 0.346 0.754
Pt8 0.750 0.890 0.410